# 1
Ba3DyB2O8, optimized geometry, DFT GGA-PBE; uncorrected formation energy = -2705 meV/atom
1.0
-1.3302 1.0091 5.3688
2.3729 -4.8905 -1.4369
6.6553 2.9052 1.1029
Ba Dy B O
3 1 2 8
Direct
0.3333 0.6667 0.6942 Ba
0.6667 0.3333 0.3058 Ba
0.0000 0.0000 0.0000 Ba
0.0000 0.0000 0.5000 Dy
0.3333 0.6667 0.2489 B
0.6667 0.3333 0.7511 B
0.3333 0.6667 0.0498 O
0.6667 0.3333 0.9502 O
0.1870 0.8130 0.3192 O
0.8130 0.1870 0.6808 O
0.1870 0.3741 0.3192 O
0.8130 0.6259 0.6808 O
0.6259 0.8130 0.3192 O
0.3741 0.1870 0.6808 O

# 2
Ag4HgSb, optimized geometry, DFT GGA-PBE; energy above the lowest structure with this stoichiometry = 0.000 eV per atom; uncorrected formation energy = 67 meV/atom
1.0
5.2573 0.0000 -0.7192
0.0000 8.9919 0.0000
-0.6108 0.0000 5.1954
Ag Hg Sb
8 2 2
Direct
0.0001 0.6692 0.0000 Ag
0.4999 0.1692 0.0000 Ag
0.4997 0.3279 0.4999 Ag
0.0003 0.8279 0.5001 Ag
0.9999 0.3308 0.0000 Ag
0.5001 0.8308 0.0000 Ag
0.5003 0.6721 0.5001 Ag
0.9997 0.1721 0.4999 Ag
0.5000 0.0000 0.5000 Hg
0.0000 0.5000 0.5000 Hg
0.0000 0.0000 0.0000 Sb
0.5000 0.5000 0.0000 Sb

# 3
KRbSn4, optimized geometry, DFT GGA-PBE; energy above the lowest structure with this stoichiometry = 0.038 eV per atom; formation energy = -115 meV/atom
1.0
-0.3414 -3.9387 5.2270
-2.3522 -6.0846 -0.6299
4.0343 -5.1408 0.4984
K Sn Rb
1 4 1
Direct
0.2500 0.2500 0.2500 K
0.6246 0.6246 0.1263 Sn
0.6246 0.1263 0.6246 Sn
0.6246 0.6246 0.6246 Sn
0.1263 0.6246 0.6246 Sn
0.0000 0.0000 0.0000 Rb

# 4
TaVTeN2, optimized geometry, DFT GGA-PBE; energy above the lowest structure with this stoichiometry = 0.287 eV per atom; uncorrected formation energy = 875 meV/atom
1.0
3.8769 0.0000 0.0000
0.0000 5.2327 0.0000
0.0000 0.0000 3.8769
N V Te Ta
2 1 1 1
Direct
0.0000 0.0000 0.5000 N
0.5000 0.0000 0.0000 N
0.0000 0.0000 0.0000 V
0.0000 0.5000 0.0000 Te
0.5000 0.5000 0.5000 Ta

# 5
LiTcO2F, optimized geometry, DFT GGA-PBE; uncorrected formation energy = -1581 meV/atom
1.0
3.8136 0.0000 0.0000
0.0000 3.8136 0.0000
0.0000 0.0000 4.3424
Li Tc O F
1 1 2 1
Direct
0.5000 0.5000 0.5000 Li
0.0000 0.0000 0.0000 Tc
0.0000 0.5000 0.0000 O
0.5000 0.0000 0.0000 O
0.0000 0.0000 0.5000 F

# 6
LiThPtRh, optimized geometry, DFT GGA-PBE; energy above the lowest structure with this stoichiometry = 0.000 eV per atom; formation energy = -834 meV/atom
1.0
3.9124 0.0000 0.0000
0.0000 4.2014 0.0000
0.0000 0.0000 4.4691
Li Th Pt Rh
1 1 1 1
Direct
0.5000 0.5000 0.0000 Li
0.5000 0.0000 0.5000 Th
0.0000 0.0000 0.0000 Pt
0.0000 0.5000 0.5000 Rh

# 7
LaDyBiO2, optimized geometry, DFT GGA-PBE; uncorrected formation energy = -2673 meV/atom
1.0
3.9817 0.0000 0.0000
0.0000 3.9817 0.0000
-1.9908 -1.9908 6.9836
La Dy Bi O
1 1 1 2
Direct
0.1646 0.1646 0.3291 La
0.8313 0.8313 0.6625 Dy
0.4934 0.4934 0.9868 Bi
0.7554 0.2554 0.5108 O
0.2554 0.7554 0.5108 O

# 8
InNiPCl2, optimized geometry, DFT GGA-PBE; energy above the lowest structure with this stoichiometry = 0.647 eV per atom; uncorrected formation energy = 585 meV/atom
1.0
-1.0930 1.4571 -4.7283
4.3461 -2.0314 -1.6307
-2.4511 -4.5687 -0.8413
Ni Cl P In
1 2 1 1
Direct
0.5000 0.5000 0.5000 Ni
0.0000 0.5000 0.0000 Cl
0.5000 0.0000 0.0000 Cl
0.0000 0.0000 0.5000 P
0.0000 0.0000 0.0000 In

# 9
BaZrRe3, optimized geometry, DFT GGA-PBE; energy above the lowest structure with this stoichiometry = 1.272 eV per atom; formation energy = 3317 meV/atom
1.0
4.9188 0.0000 0.0000
0.0000 4.9188 0.0000
0.0000 0.0000 4.9188
Re Ba Zr
3 1 1
Direct
0.0000 0.5000 0.0000 Re
0.0000 0.0000 0.5000 Re
0.5000 0.0000 0.0000 Re
0.0000 0.0000 0.0000 Ba
0.5000 0.5000 0.5000 Zr

# 10
Na3Tb2MnS6, optimized geometry, DFT GGA-PBE; uncorrected formation energy = -1452 meV/atom
1.0
-4.6451 -2.6730 -4.0955
2.6903 -3.6626 4.9843
-4.1822 4.1485 3.8309
Na Tb Mn S
3 2 1 6
Direct
0.1677 0.8323 0.5000 Na
0.8323 0.1677 0.5000 Na
0.5000 0.5000 0.5000 Na
0.3311 0.6689 0.0000 Tb
0.6689 0.3311 0.0000 Tb
0.0000 0.0000 0.0000 Mn
0.9226 0.6070 0.7738 S
0.7718 0.7718 0.2079 S
0.0774 0.3930 0.2262 S
0.6070 0.9226 0.7738 S
0.2282 0.2282 0.7921 S
0.3930 0.0774 0.2262 S

# 11
PuMnAu, optimized geometry, DFT GGA-PBE; energy above the lowest structure with this stoichiometry = 0.000 eV per atom; formation energy = 128 meV/atom
1.0
-3.0446 -0.9551 -0.5062
-0.1370 -1.1599 3.0123
-0.4052 6.3817 0.7064
Mn Au Pu
1 1 1
Direct
0.6416 0.6416 0.2832 Mn
0.0210 0.0210 0.0421 Au
0.3373 0.3373 0.6747 Pu

# 12
Pm2TmSn, optimized geometry, DFT GGA-PBE; energy above the lowest structure with this stoichiometry = 0.091 eV per atom; formation energy = -334 meV/atom
1.0
6.4098 0.0000 0.0000
0.0000 6.7908 0.0191
-3.2049 -1.6814 5.5773
Pm Tm Sn
4 2 2
Direct
0.2401 0.6112 0.4488 Pm
0.7599 0.3888 0.5512 Pm
0.2088 0.1112 0.4488 Pm
0.7912 0.8888 0.5512 Pm
0.2899 0.7500 0.0000 Tm
0.7101 0.2500 0.0000 Tm
0.2218 0.2500 0.0000 Sn
0.7782 0.7500 0.0000 Sn

| no. | electronic total energy (eV per atom) | N(E_F) (states/eV/atom) |
| --- | --- | --- |
| 1 | -7.23 | 0.400 |
| 2 | -2.57 | 0.204 |
| 3 | -3.13 | 1.619 |
| 4 | -7.28 | 0.954 |
| 5 | -6.39 | 0.467 |
| 6 | -6.52 | 0.330 |
| 7 | -7.34 | 0.331 |
| 8 | -2.94 | 0.983 |
| 9 | -6.25 | 1.106 |
| 10 | -5.38 | 0.252 |
| 11 | -8.80 | 2.879 |
| 12 | -4.83 | 1.025 |